Entry 1:
# Tb2HoPu3S6 GGA-PBE optimized geometry
data_Tb2HoPu3S6
_space_group_name_H-M_alt 'C 1 2/m 1'
_space_group_IT_number 12
_space_group_name_Hall '-C 2y'
_cell_length_a 17.149
_cell_length_b 3.928
_cell_length_c 7.863
_cell_angle_alpha 90.00
_cell_angle_beta 102.95
_cell_angle_gamma 90.00
loop_
_atom_site_label
_atom_site_fract_x
_atom_site_fract_y
_atom_site_fract_z
Tb1 0.166 0.000 0.336
Ho1 0.000 0.500 0.000
Pu1 0.000 0.500 0.500
Pu2 0.167 0.000 0.834
S1 0.001 0.000 0.247
S2 0.166 0.500 0.084
S3 0.168 0.500 0.584
# Fermi-level density of states in states/eV per atom: 1.935
# Uncorrected formation energy in meV/atom: -1910

Entry 2:
# Tb2Ho3PuS6 GGA-PBE optimized geometry
data_Tb2Ho3PuS6
_space_group_name_H-M_alt 'C 1 2/m 1'
_space_group_IT_number 12
_space_group_name_Hall '-C 2y'
_cell_length_a 17.049
_cell_length_b 3.892
_cell_length_c 7.848
_cell_angle_alpha 90.00
_cell_angle_beta 103.40
_cell_angle_gamma 90.00
loop_
_atom_site_label
_atom_site_fract_x
_atom_site_fract_y
_atom_site_fract_z
Tb1 0.164 0.000 0.329
Ho1 0.000 0.500 0.500
Ho2 0.166 0.000 0.836
Pu1 0.000 0.500 0.000
S1 0.001 0.000 0.746
S2 0.167 0.500 0.586
S3 0.169 0.500 0.082
# Fermi-level density of states in states/eV per atom: 0.594
# Uncorrected formation energy in meV/atom: -1976

Entry 3:
# Tb3HoPu3S8 GGA-PBE optimized geometry
data_Tb3HoPu3S8
_space_group_name_H-M_alt 'R -3 m'
_space_group_IT_number 166
_space_group_name_Hall '-R 3 2"'
_cell_length_a 7.8739
_cell_length_b 7.8739
_cell_length_c 19.2924
_cell_angle_alpha 90.00
_cell_angle_beta 90.00
_cell_angle_gamma 120.00
loop_
_atom_site_label
_atom_site_fract_x
_atom_site_fract_y
_atom_site_fract_z
Tb1 0.0000 0.5000 0.0000
Ho1 0.0000 0.0000 0.0000
Pu1 0.0000 0.5000 0.5000
S1 0.0000 0.0000 0.2501
S2 0.0025 0.5012 0.7484
# Fermi-level density of states in states/eV per atom: 1.924
# Uncorrected formation energy in meV/atom: -1947

Entry 4:
# Tb4Ho3PuS8 GGA-PBE optimized geometry
data_Tb4Ho3PuS8
_space_group_name_H-M_alt 'R -3 m'
_space_group_IT_number 166
_space_group_name_Hall '-R 3 2"'
_cell_length_a 7.8238
_cell_length_b 7.8238
_cell_length_c 19.1809
_cell_angle_alpha 90.00
_cell_angle_beta 90.00
_cell_angle_gamma 120.00
loop_
_atom_site_label
_atom_site_fract_x
_atom_site_fract_y
_atom_site_fract_z
Tb1 0.0000 0.0000 0.0000
Tb2 0.0000 0.5000 0.0000
Ho1 0.0000 0.5000 0.5000
Pu1 0.0000 0.0000 0.5000
S1 0.0000 0.0000 0.2486
S2 0.0024 0.5012 0.7507
# Fermi-level density of states in states/eV per atom: 0.737
# Uncorrected formation energy in meV/atom: -1980

Entry 5:
# Tb2HoPuS4 GGA-PBE optimized geometry
data_Tb2HoPuS4
_space_group_name_H-M_alt 'P 1 2/m 1'
_space_group_IT_number 10
_space_group_name_Hall '-P 2y'
_cell_length_a 6.799
_cell_length_b 3.911
_cell_length_c 6.800
_cell_angle_alpha 90.00
_cell_angle_beta 109.25
_cell_angle_gamma 90.00
loop_
_atom_site_label
_atom_site_fract_x
_atom_site_fract_y
_atom_site_fract_z
Tb1 0.000 0.000 0.000
Tb2 0.000 0.500 0.500
Ho1 0.500 0.000 0.500
Pu1 0.500 0.500 0.000
S1 0.250 0.000 0.748
S2 0.252 0.500 0.253
# Fermi-level density of states in states/eV per atom: 0.937
# Uncorrected formation energy in meV/atom: -1963

Entry 6:
# Tb4HoPu3S8 GGA-PBE optimized geometry
data_Tb4HoPu3S8
_space_group_name_H-M_alt 'R -3 m'
_space_group_IT_number 166
_space_group_name_Hall '-R 3 2"'
_cell_length_a 7.8465
_cell_length_b 7.8465
_cell_length_c 19.3295
_cell_angle_alpha 90.00
_cell_angle_beta 90.00
_cell_angle_gamma 120.00
loop_
_atom_site_label
_atom_site_fract_x
_atom_site_fract_y
_atom_site_fract_z
Tb1 0.0000 0.0000 0.0000
Tb2 0.0000 0.5000 0.0000
Ho1 0.0000 0.0000 0.5000
Pu1 0.0000 0.5000 0.5000
S1 0.0000 0.0000 0.2504
S2 0.0025 0.5013 0.2500
# Fermi-level density of states in states/eV per atom: 1.446
# Uncorrected formation energy in meV/atom: -1941

Entry 7:
# HoPuTeS GGA-PBE optimized geometry
data_HoPuTeS
_space_group_name_H-M_alt 'R 3 m'
_space_group_IT_number 160
_space_group_name_Hall 'R 3 -2"'
_cell_length_a 4.0744
_cell_length_b 4.0744
_cell_length_c 21.0751
_cell_angle_alpha 90.00
_cell_angle_beta 90.00
_cell_angle_gamma 120.00
loop_
_atom_site_label
_atom_site_fract_x
_atom_site_fract_y
_atom_site_fract_z
Ho1 0.0000 0.0000 0.0000
Pu1 0.0000 0.0000 0.5262
Te1 0.0000 0.0000 0.7608
S1 0.0000 0.0000 0.2652
# Fermi-level density of states in states/eV per atom: 1.848
# Uncorrected formation energy in meV/atom: -1531

Entry 8:
# HoPu3Th4S8 GGA-PBE optimized geometry
data_HoPu3Th4S8
_space_group_name_H-M_alt 'R -3 m'
_space_group_IT_number 166
_space_group_name_Hall '-R 3 2"'
_cell_length_a 7.8994
_cell_length_b 7.8994
_cell_length_c 19.8468
_cell_angle_alpha 90.00
_cell_angle_beta 90.00
_cell_angle_gamma 120.00
loop_
_atom_site_label
_atom_site_fract_x
_atom_site_fract_y
_atom_site_fract_z
Ho1 0.0000 0.0000 0.0000
Pu1 0.0000 0.5000 0.0000
Th1 0.0000 0.0000 0.5000
Th2 0.0000 0.5000 0.5000
S1 0.0000 0.0000 0.2544
S2 0.0021 0.5011 0.7456
# Fermi-level density of states in states/eV per atom: 1.289
# Uncorrected formation energy in meV/atom: -1846

Entry 9:
# HoPu2ThS4 GGA-PBE optimized geometry
data_HoPu2ThS4
_space_group_name_H-M_alt 'P 1 2/m 1'
_space_group_IT_number 10
_space_group_name_Hall '-P 2y'
_cell_length_a 6.860
_cell_length_b 3.936
_cell_length_c 6.880
_cell_angle_alpha 90.00
_cell_angle_beta 109.16
_cell_angle_gamma 90.00
loop_
_atom_site_label
_atom_site_fract_x
_atom_site_fract_y
_atom_site_fract_z
Ho1 0.000 0.000 0.000
Pu1 0.500 0.000 0.500
Pu2 0.500 0.500 0.000
Th1 0.000 0.500 0.500
S1 0.250 0.500 0.243
S2 0.256 0.000 0.760
# Fermi-level density of states in states/eV per atom: 1.664
# Uncorrected formation energy in meV/atom: -1852

Entry 10:
# Ho2Pu3ThS6 GGA-PBE optimized geometry
data_Ho2Pu3ThS6
_space_group_name_H-M_alt 'C 1 2/m 1'
_space_group_IT_number 12
_space_group_name_Hall '-C 2y'
_cell_length_a 17.185
_cell_length_b 3.936
_cell_length_c 7.894
_cell_angle_alpha 90.00
_cell_angle_beta 102.50
_cell_angle_gamma 90.00
loop_
_atom_site_label
_atom_site_fract_x
_atom_site_fract_y
_atom_site_fract_z
Ho1 0.167 0.000 0.338
Pu1 0.000 0.500 0.500
Pu2 0.165 0.000 0.836
Th1 0.000 0.500 0.000
S1 0.003 0.000 0.259
S2 0.168 0.500 0.583
S3 0.170 0.500 0.091
# Fermi-level density of states in states/eV per atom: 1.616
# Uncorrected formation energy in meV/atom: -1870

Entry 11:
# Ho3PuTh4S8 GGA-PBE optimized geometry
data_Ho3PuTh4S8
_space_group_name_H-M_alt 'R -3 m'
_space_group_IT_number 166
_space_group_name_Hall '-R 3 2"'
_cell_length_a 7.8221
_cell_length_b 7.8221
_cell_length_c 20.0422
_cell_angle_alpha 90.00
_cell_angle_beta 90.00
_cell_angle_gamma 120.00
loop_
_atom_site_label
_atom_site_fract_x
_atom_site_fract_y
_atom_site_fract_z
Ho1 0.0000 0.5000 0.0000
Pu1 0.0000 0.0000 0.0000
Th1 0.0000 0.0000 0.5000
Th2 0.0000 0.5000 0.5000
S1 0.0000 0.0000 0.2558
S2 0.0029 0.5014 0.2552
# Fermi-level density of states in states/eV per atom: 0.710
# Uncorrected formation energy in meV/atom: -1887

Entry 12:
# HoPuTl2S4 GGA-PBE optimized geometry
data_HoPuTl2S4
_space_group_name_H-M_alt 'P 1 2/m 1'
_space_group_IT_number 10
_space_group_name_Hall '-P 2y'
_cell_length_a 7.026
_cell_length_b 4.054
_cell_length_c 7.845
_cell_angle_alpha 90.00
_cell_angle_beta 107.39
_cell_angle_gamma 90.00
loop_
_atom_site_label
_atom_site_fract_x
_atom_site_fract_y
_atom_site_fract_z
Ho1 0.000 0.000 0.000
Pu1 0.500 0.500 0.000
Tl1 0.000 0.500 0.500
Tl2 0.500 0.000 0.500
S1 0.228 0.500 0.197
S2 0.266 0.000 0.804
# Fermi-level density of states in states/eV per atom: 1.315
# Uncorrected formation energy in meV/atom: -1337

Entry 13:
# HoPu2Tl3S6 GGA-PBE optimized geometry
data_HoPu2Tl3S6
_space_group_name_H-M_alt 'C 1 2/m 1'
_space_group_IT_number 12
_space_group_name_Hall '-C 2y'
_cell_length_a 7.036
_cell_length_b 12.184
_cell_length_c 7.836
_cell_angle_alpha 90.00
_cell_angle_beta 107.39
_cell_angle_gamma 90.00
loop_
_atom_site_label
_atom_site_fract_x
_atom_site_fract_y
_atom_site_fract_z
Ho1 0.000 0.000 0.000
Pu1 0.000 0.333 0.000
Tl1 0.000 0.167 0.500
Tl2 0.000 0.500 0.500
S1 0.231 0.166 0.196
S2 0.234 0.500 0.196
# Fermi-level density of states in states/eV per atom: 1.460
# Uncorrected formation energy in meV/atom: -1296

Entry 14:
# Ho3PuTl3S8 GGA-PBE optimized geometry
data_Ho3PuTl3S8
_space_group_name_H-M_alt 'R -3 m'
_space_group_IT_number 166
_space_group_name_Hall '-R 3 2"'
_cell_length_a 7.9915
_cell_length_b 7.9915
_cell_length_c 22.7145
_cell_angle_alpha 90.00
_cell_angle_beta 90.00
_cell_angle_gamma 120.00
loop_
_atom_site_label
_atom_site_fract_x
_atom_site_fract_y
_atom_site_fract_z
Ho1 0.0000 0.5000 0.0000
Pu1 0.0000 0.0000 0.0000
Tl1 0.0000 0.5000 0.5000
S1 0.0000 0.0000 0.2681
S2 0.0052 0.5026 0.7309
# Fermi-level density of states in states/eV per atom: 0.647
# Uncorrected formation energy in meV/atom: -1466

Entry 15:
# Ho2PuTl3S6 GGA-PBE optimized geometry
data_Ho2PuTl3S6
_space_group_name_H-M_alt 'C 1 2/m 1'
_space_group_IT_number 12
_space_group_name_Hall '-C 2y'
_cell_length_a 7.009
_cell_length_b 12.138
_cell_length_c 7.847
_cell_angle_alpha 90.00
_cell_angle_beta 107.32
_cell_angle_gamma 90.00
loop_
_atom_site_label
_atom_site_fract_x
_atom_site_fract_y
_atom_site_fract_z
Ho1 0.000 0.167 0.000
Pu1 0.000 0.500 0.000
Tl1 0.000 0.000 0.500
Tl2 0.000 0.334 0.500
S1 0.228 0.000 0.197
S2 0.234 0.331 0.197
# Fermi-level density of states in states/eV per atom: 0.967
# Uncorrected formation energy in meV/atom: -1379

Entry 16:
# HoPu3Tl3S8 GGA-PBE optimized geometry
data_HoPu3Tl3S8
_space_group_name_H-M_alt 'R -3 m'
_space_group_IT_number 166
_space_group_name_Hall '-R 3 2"'
_cell_length_a 8.0684
_cell_length_b 8.0684
_cell_length_c 22.4361
_cell_angle_alpha 90.00
_cell_angle_beta 90.00
_cell_angle_gamma 120.00
loop_
_atom_site_label
_atom_site_fract_x
_atom_site_fract_y
_atom_site_fract_z
Ho1 0.0000 0.0000 0.0000
Pu1 0.0000 0.5000 0.0000
Tl1 0.0000 0.5000 0.5000
S1 0.0000 0.0000 0.2689
S2 0.0004 0.5002 0.2691
# Fermi-level density of states in states/eV per atom: 1.740
# Uncorrected formation energy in meV/atom: -1338

Entry 17:
# HoTm2PuS6 GGA-PBE optimized geometry
data_HoTm2PuS6
_space_group_name_H-M_alt 'R 3'
_space_group_IT_number 146
_space_group_name_Hall 'R 3'
_cell_length_a 6.8728
_cell_length_b 6.8728
_cell_length_c 18.4998
_cell_angle_alpha 90.00
_cell_angle_beta 90.00
_cell_angle_gamma 120.00
loop_
_atom_site_label
_atom_site_fract_x
_atom_site_fract_y
_atom_site_fract_z
Ho1 0.0000 0.0000 0.0000
Tm1 0.0000 0.0000 0.1997
Tm2 0.0000 0.0000 0.6988
Pu1 0.0000 0.0000 0.4986
S1 0.0342 0.3600 0.2685
S2 0.0429 0.6813 0.7675
# Fermi-level density of states in states/eV per atom: 1.184
# Uncorrected formation energy in meV/atom: -1919

Entry 18:
# Ho4TmPuS8 GGA-PBE optimized geometry
data_Ho4TmPuS8
_space_group_name_H-M_alt 'R 3 m'
_space_group_IT_number 160
_space_group_name_Hall 'R 3 -2"'
_cell_length_a 8.0626
_cell_length_b 8.0626
_cell_length_c 19.6714
_cell_angle_alpha 90.00
_cell_angle_beta 90.00
_cell_angle_gamma 120.00
loop_
_atom_site_label
_atom_site_fract_x
_atom_site_fract_y
_atom_site_fract_z
Ho1 0.0000 0.0000 0.0000
Ho2 0.1686 0.3372 0.2082
Tm1 0.0000 0.0000 0.3769
Pu1 0.0000 0.0000 0.7511
S1 0.0000 0.0000 0.1330
S2 0.0000 0.0000 0.6143
S3 0.0321 0.5160 0.1284
S4 0.1779 0.3558 0.9569
# Fermi-level density of states in states/eV per atom: 1.324
# Uncorrected formation energy in meV/atom: -1886

Entry 19:
# Ho2TmPuS4 GGA-PBE optimized geometry
data_Ho2TmPuS4
_space_group_name_H-M_alt 'P 1 2/m 1'
_space_group_IT_number 10
_space_group_name_Hall '-P 2y'
_cell_length_a 6.742
_cell_length_b 3.876
_cell_length_c 6.746
_cell_angle_alpha 90.00
_cell_angle_beta 109.20
_cell_angle_gamma 90.00
loop_
_atom_site_label
_atom_site_fract_x
_atom_site_fract_y
_atom_site_fract_z
Ho1 0.000 0.000 0.000
Ho2 0.000 0.500 0.500
Tm1 0.500 0.000 0.500
Pu1 0.500 0.500 0.000
S1 0.248 0.000 0.745
S2 0.251 0.500 0.255
# Fermi-level density of states in states/eV per atom: 0.878
# Uncorrected formation energy in meV/atom: -1936

Entry 20:
# Ho2TmPu3S6 GGA-PBE optimized geometry
data_Ho2TmPu3S6
_space_group_name_H-M_alt 'C 1 2/m 1'
_space_group_IT_number 12
_space_group_name_Hall '-C 2y'
_cell_length_a 17.066
_cell_length_b 3.904
_cell_length_c 7.828
_cell_angle_alpha 90.00
_cell_angle_beta 103.11
_cell_angle_gamma 90.00
loop_
_atom_site_label
_atom_site_fract_x
_atom_site_fract_y
_atom_site_fract_z
Ho1 0.166 0.000 0.336
Tm1 0.000 0.500 0.000
Pu1 0.000 0.500 0.500
Pu2 0.167 0.000 0.834
S1 0.001 0.000 0.244
S2 0.165 0.500 0.086
S3 0.168 0.500 0.582
# Fermi-level density of states in states/eV per atom: 1.947
# Uncorrected formation energy in meV/atom: -1895